ZrPPd2Pb | Alexandria via LeMat-Bulk | meta-GGA SCAN | PBEsol geometry; calculated formation energy = 0.31 eV per atom; symmetry = P4/mmm, No. 123; calculated total energy = -180.878 eV per cell
1.0
4.896 0.000 0.000
0.000 4.896 0.000
0.000 0.000 4.924
Zr P Pd Pb
1 1 2 1
Direct
0.000 0.000 0.000
0.000 0.000 0.500
0.000 0.500 0.000
0.500 0.000 0.000
0.500 0.500 0.500